Version A
The following is a GGA-PBE calculation of a relaxed structure of Mo2PPb, from Alexandria via LeMat-Bulk.

Unit cell a=4.548 b=3.142 c=10.389 alpha=90.00 beta=90.00 gamma=90.00
Space group Amm2 (No. 38)
Symmetry-distinct sites (fractional):
Mo 0.000 0.000 0.000
Mo 0.500 0.000 0.399
P 0.500 0.000 0.074
Pb 0.000 0.000 0.737



Version B
The following is a GGA-PBE calculation of a relaxed structure of Mo2PPb, from Alexandria via LeMat-Bulk.

Unit cell a=3.306 b=4.270 c=5.015 alpha=90.00 beta=90.00 gamma=90.00
Space group Pmmm (No. 47)
Symmetry-distinct sites (fractional):
Mo 0.000 0.000 0.000
Mo 0.500 0.000 0.500
P 0.000 0.500 0.500
Pb 0.500 0.500 0.000



Relative to the most stable one, in eV/atom, the structures come out at version A 0.000; version B 0.449.



Version A
The following is a GGA-PBE calculation of a relaxed structure of Mo2PPb, from Alexandria via LeMat-Bulk.

Unit cell a=3.1345 b=3.1345 c=26.3821 alpha=90.00 beta=90.00 gamma=120.00
Space group R3m (No. 160, hexagonal axes)
Symmetry-distinct sites (fractional):
Mo 0.0000 0.0000 0.0000
Mo 0.0000 0.0000 0.2555
P 0.0000 0.0000 0.5272
Pb 0.0000 0.0000 0.7599



Version B
The following is a GGA-PBE calculation of a relaxed structure of Mo2PPb, from Alexandria via LeMat-Bulk.

Unit cell a=4.238 b=4.238 c=17.927 alpha=90.00 beta=90.00 gamma=90.00
Space group I-42d (No. 122)
Symmetry-distinct sites (fractional):
Mo 0.156 0.250 0.125
P 0.000 0.000 0.000
Pb 0.000 0.000 0.500



Version C
The following is a GGA-PBE calculation of a relaxed structure of Mo2PPb, from Alexandria via LeMat-Bulk.

Unit cell a=3.088 b=3.372 c=14.153 alpha=90.00 beta=90.00 gamma=90.00
Space group Imm2 (No. 44)
Symmetry-distinct sites (fractional):
Mo 0.000 0.000 0.000
Mo 0.000 0.500 0.322
P 0.000 0.000 0.440
Pb 0.000 0.500 0.681



Relative to the most stable one, in eV/atom, the structures come out at version A 0.182; version B 0.503; version C 0.000.



Version A
The following is a GGA-PBE calculation of a relaxed structure of Mo2PPb, from Alexandria via LeMat-Bulk.

Unit cell a=3.256 b=3.256 c=6.682 alpha=90.00 beta=90.00 gamma=90.00
Space group P4mm (No. 99)
Symmetry-distinct sites (fractional):
Mo 0.000 0.000 0.000
Mo 0.500 0.500 0.257
P 0.000 0.000 0.387
Pb 0.500 0.500 0.719



Version B
The following is a GGA-PBE calculation of a relaxed structure of Mo2PPb, from Alexandria via LeMat-Bulk.

Unit cell a=4.538 b=4.538 c=3.268 alpha=90.00 beta=90.00 gamma=90.00
Space group P4/mmm (No. 123)
Symmetry-distinct sites (fractional):
Mo 0.000 0.500 0.000
P 0.000 0.000 0.500
Pb 0.500 0.500 0.500



Relative to the most stable one, in eV/atom, the structures come out at version A 0.000; version B 0.497.



Version A
The following is a GGA-PBE calculation of a relaxed structure of Mo2PPb, from Alexandria via LeMat-Bulk.

Unit cell a=6.451 b=6.451 c=6.451 alpha=90.00 beta=90.00 gamma=90.00
Space group Fm-3m (No. 225)
Symmetry-distinct sites (fractional):
Mo 0.250 0.250 0.250
P 0.000 0.000 0.000
Pb 0.000 0.000 0.500



Version B
The following is a GGA-PBE calculation of a relaxed structure of Mo2PPb, from Alexandria via LeMat-Bulk.

Unit cell a=5.838 b=8.611 c=3.162 alpha=90.00 beta=116.37 gamma=90.00
Space group C2/m (No. 12)
Symmetry-distinct sites (fractional):
Mo 0.250 0.250 0.000
P 0.000 0.000 0.500
Pb 0.000 0.500 0.500



Relative to the most stable one, in eV/atom, the structures come out at version A 0.000; version B 0.192.



Version A
The following is a GGA-PBE calculation of a relaxed structure of MoP2Pb, from Alexandria via LeMat-Bulk.

Unit cell a=6.596 b=6.596 c=6.596 alpha=90.00 beta=90.00 gamma=90.00
Space group F-43m (No. 216)
Symmetry-distinct sites (fractional):
Mo 0.000 0.000 0.000
P 0.000 0.000 0.500
P 0.250 0.250 0.750
Pb 0.250 0.250 0.250



Version B
The following is a GGA-PBE calculation of a relaxed structure of MoP2Pb, from Alexandria via LeMat-Bulk.

Unit cell a=3.2445 b=3.2445 c=26.4499 alpha=90.00 beta=90.00 gamma=120.00
Space group R-3m (No. 166, hexagonal axes)
Symmetry-distinct sites (fractional):
Mo 0.0000 0.0000 0.0000
P 0.0000 0.0000 0.2730
Pb 0.0000 0.0000 0.5000



Version C
The following is a GGA-PBE calculation of a relaxed structure of MoP2Pb, from Alexandria via LeMat-Bulk.

Unit cell a=3.155 b=3.438 c=14.700 alpha=90.00 beta=90.00 gamma=90.00
Space group Imm2 (No. 44)
Symmetry-distinct sites (fractional):
Mo 0.000 0.000 0.000
P 0.000 0.000 0.436
P 0.000 0.500 0.622
Pb 0.000 0.500 0.273



Version D
The following is a GGA-PBE calculation of a relaxed structure of MoP2Pb, from Alexandria via LeMat-Bulk.

Unit cell a=8.031 b=3.260 c=6.152 alpha=90.00 beta=96.72 gamma=90.00
Space group C2/m (No. 12)
Symmetry-distinct sites (fractional):
Mo 0.000 0.000 0.000
P 0.220 0.500 0.141
Pb 0.000 0.500 0.500



Relative to the most stable one, in eV/atom, the structures come out at version A 1.002; version B 0.000; version C 0.066; version D 0.151.



Version A
The following is a GGA-PBE calculation of a relaxed structure of MoP2Pb, from Alexandria via LeMat-Bulk.

Unit cell a=4.740 b=4.740 c=6.348 alpha=90.00 beta=90.00 gamma=90.00
Space group I4/mmm (No. 139)
Symmetry-distinct sites (fractional):
Mo 0.000 0.000 0.000
P 0.000 0.500 0.250
Pb 0.000 0.000 0.500



Version B
The following is a GGA-PBE calculation of a relaxed structure of MoP2Pb, from Alexandria via LeMat-Bulk.

Unit cell a=3.030 b=5.956 c=9.461 alpha=90.00 beta=90.00 gamma=90.00
Space group Immm (No. 71)
Symmetry-distinct sites (fractional):
Mo 0.000 0.000 0.000
P 0.000 0.500 0.303
Pb 0.000 0.000 0.500



Version C
The following is a GGA-PBE calculation of a relaxed structure of MoP2Pb, from Alexandria via LeMat-Bulk.

Unit cell a=3.145 b=3.145 c=7.356 alpha=90.00 beta=90.00 gamma=90.00
Space group P4/mmm (No. 123)
Symmetry-distinct sites (fractional):
Mo 0.000 0.000 0.000
P 0.500 0.500 0.180
Pb 0.000 0.000 0.500



Relative to the most stable one, in eV/atom, the structures come out at version A 0.679; version B 0.449; version C 0.000.



Version A
The following is a GGA-PBE calculation of a relaxed structure of MoP2Pb, from Alexandria via LeMat-Bulk.

Unit cell a=3.0956 b=3.0956 c=27.2784 alpha=90.00 beta=90.00 gamma=120.00
Space group R3m (No. 160, hexagonal axes)
Symmetry-distinct sites (fractional):
Mo 0.0000 0.0000 0.0000
P 0.0000 0.0000 0.2700
P 0.0000 0.0000 0.5430
Pb 0.0000 0.0000 0.7609



Version B
The following is a GGA-PBE calculation of a relaxed structure of MoP2Pb, from Alexandria via LeMat-Bulk.

Unit cell a=3.538 b=4.524 c=5.057 alpha=90.00 beta=98.99 gamma=90.00
Space group P2/m (No. 10)
Symmetry-distinct sites (fractional):
Mo 0.000 0.000 0.000
P 0.218 0.500 0.862
Pb 0.500 0.000 0.500



Relative to the most stable one, in eV/atom, the structures come out at version A 0.081; version B 0.000.



Version A
The following is a GGA-PBE calculation of a relaxed structure of MoP2Pb, from Alexandria via LeMat-Bulk.

Unit cell a=5.755 b=7.358 c=3.360 alpha=90.00 beta=90.00 gamma=90.00
Space group Cmmm (No. 65)
Symmetry-distinct sites (fractional):
Mo 0.000 0.000 0.000
P 0.250 0.250 0.500
Pb 0.000 0.500 0.000



Version B
The following is a GGA-PBE calculation of a relaxed structure of MoP2Pb, from Alexandria via LeMat-Bulk.

Unit cell a=3.654 b=4.488 c=4.919 alpha=90.00 beta=111.69 gamma=90.00
Space group Pm (No. 6)
Symmetry-distinct sites (fractional):
Mo 0.000 0.000 0.000
P 0.104 0.500 0.218
P 0.697 0.000 0.393
Pb 0.386 0.500 0.775



Relative to the most stable one, in eV/atom, the structures come out at version A 0.372; version B 0.000.